# 1
# Y2U2Te2Se5 PBE relaxed
# density of states at the Fermi level = 27.6 states/eV per cell
# formation energy (no corrections) = -1.1118 eV/atom
data_Y2U2Te2Se5
_chemical_formula_sum 'Y4 U4 Te4 Se10'
_symmetry_space_group_name_H-M 'I 4/m m m'
_symmetry_Int_Tables_number 139
_symmetry_space_group_name_Hall '-I 4 2'
_cell_length_a 5.5322
_cell_length_b 5.5322
_cell_length_c 24.9679
_cell_angle_alpha 90.00
_cell_angle_beta 90.00
_cell_angle_gamma 90.00
loop_
_atom_site_label
_atom_site_type_symbol
_atom_site_fract_x
_atom_site_fract_y
_atom_site_fract_z
Y1 Y 0.0000 0.0000 0.1565
U1 U 0.0000 0.0000 0.3916
Te1 Te 0.0000 0.0000 0.2742
Se1 Se 0.0000 0.0000 0.5000
Se2 Se 0.0000 0.5000 0.1136

---

# 2
# VTeSe2 PBE relaxed
# density of states at the Fermi level = 6.5 states/eV per cell
# formation energy (no corrections) = -0.4136 eV/atom
data_VTeSe2
_chemical_formula_sum 'V3 Te3 Se6'
_symmetry_space_group_name_H-M 'R -3 m'
_symmetry_Int_Tables_number 166
_symmetry_space_group_name_Hall '-R 3 2"'
_cell_length_a 3.2804
_cell_length_b 3.2804
_cell_length_c 32.6353
_cell_angle_alpha 90.00
_cell_angle_beta 90.00
_cell_angle_gamma 120.00
loop_
_atom_site_label
_atom_site_type_symbol
_atom_site_fract_x
_atom_site_fract_y
_atom_site_fract_z
V1 V 0.0000 0.0000 0.0000
Te1 Te 0.0000 0.0000 0.5000
Se1 Se 0.0000 0.0000 0.3825

---

# 3
# V4Te5Se PBE relaxed
# density of states at the Fermi level = 14.4 states/eV per cell
# formation energy (no corrections) = -0.2381 eV/atom
data_V4Te5Se
_chemical_formula_sum 'V8 Te10 Se2'
_symmetry_space_group_name_H-M 'C 1 2/m 1'
_symmetry_Int_Tables_number 12
_cell_length_a 16.7946
_cell_length_b 3.6738
_cell_length_c 8.1228
_cell_angle_alpha 90.00
_cell_angle_beta 102.48
_cell_angle_gamma 90.00
loop_
_symmetry_equiv_pos_as_xyz
'x,y,z'
'-x,-y,-z'
'-x,y,-z'
'x,-y,z'
'x+1/2,y+1/2,z'
'-x+1/2,-y+1/2,-z'
'-x+1/2,y+1/2,-z'
'x+1/2,-y+1/2,z'
loop_
_atom_site_label
_atom_site_type_symbol
_atom_site_fract_x
_atom_site_fract_y
_atom_site_fract_z
V1 V 0.0041 0.0000 0.2507
V2 V 0.1564 0.5000 0.0967
Te1 Te 0.0000 0.5000 0.5000
Te2 Te 0.1689 0.0000 0.3443
Te3 Te 0.1699 0.0000 0.8528
Se1 Se 0.0000 0.5000 0.0000

---

# 4
# V3TeSe PBE relaxed
# offset from the most stable computed form = 0.0 kJ/mol of atoms
# density of states at the Fermi level = 7.0 states/eV per cell
# formation energy (no corrections) = 0.5594 eV/atom
data_V3TeSe
_chemical_formula_sum 'V3 Te1 Se1'
_symmetry_space_group_name_H-M 'P m -3 m'
_symmetry_Int_Tables_number 221
_symmetry_space_group_name_Hall '-P 4 2 3'
_cell_length_a 4.5534
_cell_length_b 4.5534
_cell_length_c 4.5534
_cell_angle_alpha 90.00
_cell_angle_beta 90.00
_cell_angle_gamma 90.00
loop_
_atom_site_label
_atom_site_type_symbol
_atom_site_fract_x
_atom_site_fract_y
_atom_site_fract_z
V1 V 0.0000 0.0000 0.5000
Te1 Te 0.5000 0.5000 0.5000
Se1 Se 0.0000 0.0000 0.0000